Material: NaCuIN2
Method: DFT, GGA-PBEsol
State: optimized geometry

Lattice parameters (Å, degrees): 4.294 4.294 6.036 90.00 90.00 90.00
Last column: magnetic moment on the atom in μB.
Fractional positions:
N (0.000, 0.500, 0.000)  1.62
Na (0.000, 0.000, 0.000)  0.03
N (0.500, 0.000, 0.000)  1.62
I (0.000, 0.000, 0.500)  0.10
Cu (0.500, 0.500, 0.500)  0.05

Symmetry: No. 123
Formation energy from raw total energies in eV per formula unit: 9.82

Material: CuNiI2N
Method: DFT, GGA-PBEsol
State: optimized geometry

Lattice parameters (Å, degrees): 3.445 5.331 5.331 90.00 90.00 90.00
Fractional positions:
Ni (0.000, 0.000, 0.000)
Cu (0.500, 0.500, 0.500)
I (0.000, 0.500, 0.000)
I (0.000, 0.000, 0.500)
N (0.500, 0.000, 0.000)

Symmetry: No. 123
Formation energy from raw total energies in eV per formula unit: 3.37

Material: CuIN2O
Method: DFT, GGA-PBEsol
State: optimized geometry

Lattice parameters (Å, degrees): 3.482 3.482 7.165 90.00 90.00 90.00
Last column: magnetic moment on the atom in μB.
Fractional positions:
Cu (0.000, 0.000, 0.000)  0.21
O (0.500, 0.500, 0.500)  0.02
N (0.000, 0.500, 0.000)  0.46
N (0.500, 0.000, 0.000)  0.46
I (0.000, 0.000, 0.500)  0.02

Symmetry: No. 123
Formation energy from raw total energies in eV per formula unit: 7.74

Material: CuI2NO
Method: DFT, GGA-PBEsol
State: optimized geometry

Lattice parameters (Å, degrees): 3.518 5.406 5.406 90.00 90.00 90.00
Last column: magnetic moment on the atom in μB.
Fractional positions:
Cu (0.000, 0.000, 0.000)  0.23
I (0.000, 0.000, 0.500)  0.30
I (0.000, 0.500, 0.000)  0.30
O (0.500, 0.500, 0.500)  1.30
N (0.500, 0.000, 0.000)  0.87

Symmetry: No. 123
Formation energy from raw total energies in eV per formula unit: 5.93

Material: CuIN2O
Method: DFT, GGA-PBEsol
State: optimized geometry

Lattice parameters (Å, degrees): 3.823 3.823 4.574 90.00 90.00 90.00
Last column: magnetic moment on the atom in μB.
Fractional positions:
N (0.000, 0.500, 0.000)  1.07
Cu (0.500, 0.500, 0.500)  0.20
O (0.000, 0.000, 0.000)  -0.11
N (0.500, 0.000, 0.000)  1.07
I (0.000, 0.000, 0.500)  0.14

Symmetry: No. 123
Formation energy from raw total energies in eV per formula unit: 10.79

Material: CuPdI2N
Method: DFT, GGA-PBEsol
State: optimized geometry

Lattice parameters (Å, degrees): 3.682 5.520 5.520 90.00 90.00 90.00
Fractional positions:
Cu (0.500, 0.500, 0.500)
I (0.000, 0.000, 0.500)
I (0.000, 0.500, 0.000)
N (0.500, 0.000, 0.000)
Pd (0.000, 0.000, 0.000)

Symmetry: No. 123
Formation energy from raw total energies in eV per formula unit: 3.93

Material: CuSeI2N
Method: DFT, GGA-PBEsol
State: optimized geometry

Lattice parameters (Å, degrees): 3.655 5.761 5.761 90.00 90.00 90.00
Fractional positions:
I (0.000, 0.000, 0.500)
I (0.000, 0.500, 0.000)
N (0.500, 0.000, 0.000)
Cu (0.500, 0.500, 0.500)
Se (0.000, 0.000, 0.000)

Symmetry: No. 123
Formation energy from raw total energies in eV per formula unit: 4.97

Material: TaCuIN2
Method: DFT, GGA-PBEsol
State: optimized geometry

Lattice parameters (Å, degrees): 3.945 3.945 5.828 90.00 90.00 90.00
Fractional positions:
Cu (0.500, 0.500, 0.500)
N (0.000, 0.500, 0.000)
Ta (0.000, 0.000, 0.000)
I (0.000, 0.000, 0.500)
N (0.500, 0.000, 0.000)

Symmetry: No. 123
Formation energy from raw total energies in eV per formula unit: 1.95

In order of appearance, total moment = 5.0 0.0 1.5 3.8 3.2 0.0 0.0 0.0 μB/cell.